{
  "formula": "CdTe4Rh",
  "functional": "PBEsol",
  "state": "optimized geometry",
  "lattice": [[0.0000, 4.3158, 4.3158], [4.3158, 0.0000, 4.3158], [4.3158, 4.3158, 0.0000]],
  "species": ["Cd", "Te", "Te", "Te", "Te", "Rh"],
  "frac_coords": [[0.0000, 0.0000, 0.0000], [0.1264, 0.6245, 0.6245], [0.6245, 0.1264, 0.6245], [0.6245, 0.6245, 0.1264], [0.6245, 0.6245, 0.6245], [0.2500, 0.2500, 0.2500]],
  "mass_density_g_cm3": 7.496,
  "dos_at_fermi_per_ev_atom": 1.10,
  "e_form_raw_ev_per_atom": 0.8284
}